Entry from Alexandria via LeMat-Bulk: crystalline BeMoRu at its relaxed geometry (GGA-PBE).

Values from the calculation:
Magnetic moment ... 0.000 μB per cell

Cell: 4.8213 4.8211 2.9644 Å, 72.10 72.09 35.81°
Positions (direct):
Mo 0.3357 0.3357 0.6643
Be 0.0117 0.0117 0.9883
Ru 0.6526 0.6526 0.3474

Entry from Alexandria via LeMat-Bulk: crystalline BeMoRu at its relaxed geometry (GGA-PBE).

Values from the calculation:
Magnetic moment ... 0.000 μB per cell

Cell: 4.0427 4.0427 2.7680 Å, 90.00 90.00 120.00°
Positions (direct):
Be 0.0000 0.0000 0.8731
Ru 0.3333 0.6667 0.7933
Mo 0.6667 0.3333 0.3336

Respective formation enthalpy at 0 K values: -0.1390 -0.0214 eV/atom.